Material: In2As2Cl
Method: DFT, PBE-GGA
State: relaxed

- Space group: I4/mmm (139)
- Raw formation energy: -0.16 eV per atom

Cell: 8.404 8.404 8.404 Å, 152.56 152.56 39.19°
Sites, in units of the cell vectors:
In  0.099  0.099  0.000
In  0.901  0.901  0.000
As  0.250  0.750  0.500
As  0.750  0.250  0.500
Cl  0.500  0.500  0.000


Material: InAs2Cl
Method: DFT, PBE-GGA
State: relaxed

- Space group: Pmmm (47)
- Raw formation energy: 0.06 eV per atom

Cell: 3.860 3.904 6.796 Å, 90.00 90.00 90.00°
Sites, in units of the cell vectors:
In  0.000  0.000  0.000
As  0.000  0.500  0.500
As  0.500  0.000  0.500
Cl  0.500  0.500  0.000